5
Lattice="4.460 0.000 0.000 0.000 4.460 0.000 0.000 0.000 4.460" Properties=species:S:1:pos:R:3 comment="PBE-GGA Co3CuBr, relaxed" spacegroup="Pm-3m, No. 221" crystal_system=cubic raw_formation_energy_ev_per_atom=1.291 pbc="T T T"
Co 0.000 0.000 2.230
Co 0.000 2.230 0.000
Co 2.230 0.000 0.000
Cu 0.000 0.000 0.000
Br 2.230 2.230 2.230

=====

12
Lattice="12.216 0.000 0.000 -6.108 10.579 0.000 0.000 0.000 4.091" Properties=species:S:1:pos:R:3 comment="PBE-GGA Sr3Tl, relaxed" formation_energy_mev_per_atom=-33 spacegroup="R-3m, No. 166" crystal_system=trigonal pbc="T T T"
Sr -3.054 5.290 0.000
Sr 0.000 3.526 1.364
Sr -3.054 8.816 1.364
Sr 3.054 1.763 2.727
Sr 6.108 0.000 0.000
Sr 3.054 5.290 0.000
Sr 3.054 8.816 1.364
Sr 9.162 1.763 2.727
Sr 6.108 7.053 2.727
Tl 0.000 0.000 0.000
Tl 0.000 7.053 2.727
Tl 6.108 3.526 1.364

=====

12
Lattice="6.835 0.000 0.000 0.000 6.835 0.000 0.000 0.000 6.835" Properties=species:S:1:pos:R:3 comment="PBE-GGA LiTlCl, relaxed" spacegroup="F-43m, No. 216" crystal_system=cubic raw_formation_energy_ev_per_atom=-0.516 pbc="T T T"
Li 0.000 0.000 0.000
Li 0.000 3.417 3.417
Li 3.417 0.000 3.417
Li 3.417 3.417 0.000
Tl 1.709 1.709 1.709
Tl 1.709 5.126 5.126
Tl 5.126 1.709 5.126
Tl 5.126 5.126 1.709
Cl 1.709 1.709 5.126
Cl 1.709 5.126 1.709
Cl 5.126 1.709 1.709
Cl 5.126 5.126 5.126

=====

5
Lattice="5.243 0.000 0.000 0.000 5.243 0.000 0.000 0.000 4.651" Properties=species:S:1:pos:R:3 comment="PBE-GGA BeOsSeBr2, relaxed" spacegroup="P4/mmm, No. 123" crystal_system=tetragonal raw_formation_energy_ev_per_atom=0.889 pbc="T T T"
Be 0.000 0.000 0.000
Os 2.621 2.621 2.325
Se 2.621 2.621 0.000
Br 0.000 2.621 2.325
Br 2.621 0.000 2.325